Entry from Alexandria: a relaxed Mn2CdSe crystal (PBE).

Total moment, μB per formula unit: 6.718
Raw total energy, eV per atom: -5.502
Offset from the most stable computed form, meV per atom: 114
V, Å³/atom: 18.4

Cell: 3.0649 4.5028 10.6680 Å, 90.00 90.00 90.00°
With the nearest neighbours (Å) after each atom.
Space group Imm2 (No. 44)
Asymmetric unit:
Mn 0.0000 0.0000 0.0000 [2 per cell]  2 Se 2.45
Mn 0.0000 0.5000 0.2850 [2 per cell]  4 Mn 2.76-3.06, 2 Cd 2.89, 4 Se 2.95
Cd 0.0000 0.0000 0.4542 [2 per cell]  6 Mn 2.77-2.89, 2 Cd 3.06
Se 0.0000 0.5000 0.6788 [2 per cell]  2 Mn 2.45